The following is a PBE calculation of a geometry-optimized Tb5Tm8In structure, from Alexandria via LeMat-Bulk.

It has space group I-4 (No. 82), with a = 9.479 Å, b = 9.479 Å, c = 9.835 Å, α = 90.00°, β = 90.00° and γ = 90.00°. The asymmetric unit holds Tb at (0.000, 0.000, 0.000), Tb at (0.103, 0.211, 0.419), Tm at (0.069, 0.324, 0.092), Tm at (0.086, 0.184, 0.754) and In at (0.000, 0.500, 0.750).

The energy of formation comes out at 186 meV/atom. As for the density of states at the Fermi level: 32.82 states/eV/cell.